A plane-wave DFT calculation with GGA+U was carried out for crystalline Li2VO2F at its relaxed geometry.

Values from the calculation:
Polymorph energy (0 for the lowest one) = 92 meV/atom
Calculated volume = 230.7 Å³ per cell
Space group = No. 8

a b c (Å): 7.955 7.955 10.432
angles (deg): 109.50 109.50 21.81
Fractional positions:
Li (0.000, 0.000, 0.000)
Li (0.129, 0.129, 0.940)
Li (0.144, 0.144, 0.412)
Li (0.486, 0.486, 0.257)
Li (0.501, 0.501, 0.772)
Li (0.634, 0.634, 0.155)
Li (0.640, 0.640, 0.658)
Li (0.984, 0.984, 0.504)
V (0.313, 0.313, 0.337)
V (0.327, 0.327, 0.831)
V (0.813, 0.813, 0.090)
V (0.816, 0.816, 0.583)
O (0.239, 0.239, 0.133)
O (0.242, 0.242, 0.635)
O (0.379, 0.379, 0.034)
O (0.391, 0.391, 0.538)
O (0.565, 0.565, 0.964)
O (0.737, 0.737, 0.382)
O (0.890, 0.890, 0.292)
O (0.894, 0.894, 0.787)
F (0.061, 0.061, 0.219)
F (0.068, 0.068, 0.700)
F (0.565, 0.565, 0.460)
F (0.738, 0.738, 0.870)